Density functional theory data (PBEsol) for an optimized crystal structure of TlAg2As.

It has space group P4/mmm (No. 123), with a = 3.135 Å, b = 3.135 Å, c = 7.979 Å, α = 90.00°, β = 90.00° and γ = 90.00°. The asymmetric unit holds Tl at (0.000, 0.000, 0.000), Ag at (0.500, 0.500, 0.279) and As at (0.000, 0.000, 0.500).

Its total energy is -3.415 eV/atom. The volume is 19.6 Å³ per atom. The formation energy is 0.175 eV per atom.

***

Density functional theory data (PBEsol) for an optimized crystal structure of TlAg2As.

It has space group P4mm (No. 99), with a = 3.324 Å, b = 3.324 Å, c = 7.241 Å, α = 90.00°, β = 90.00° and γ = 90.00°. The asymmetric unit holds Tl at (0.000, 0.000, 0.000), Ag at (0.000, 0.000, 0.494), Ag at (0.500, 0.500, 0.277) and As at (0.500, 0.500, 0.689).

Its total energy is -3.402 eV/atom. The volume is 20.0 Å³ per atom. The formation energy is 0.188 eV per atom.

***

Density functional theory data (PBEsol) for an optimized crystal structure of TlAg2As2.

It has space group I4/mmm (No. 139), with a = 4.516 Å, b = 4.516 Å, c = 10.561 Å, α = 90.00°, β = 90.00° and γ = 90.00°. The asymmetric unit holds Tl at (0.000, 0.000, 0.000), Ag at (0.000, 0.500, 0.250) and As at (0.000, 0.000, 0.385).

Its total energy is -3.827 eV/atom. The volume is 21.5 Å³ per atom. The formation energy is 0.066 eV per atom.

***

Density functional theory data (PBEsol) for an optimized crystal structure of Tl2AgAs2.

It has space group P4/mbm (No. 127), with a = 6.722 Å, b = 6.722 Å, c = 5.214 Å, α = 90.00°, β = 90.00° and γ = 90.00°. The asymmetric unit holds Tl at (0.184, 0.316, 0.000), Ag at (0.000, 0.000, 0.500) and As at (0.130, 0.630, 0.500).

Its total energy is -3.680 eV/atom. The volume is 23.6 Å³ per atom. The formation energy is 0.077 eV per atom.